The following is a PBE calculation of crystalline PrHoZn at its relaxed geometry, from OQMD via LeMat-Bulk.

Computed properties:
ΔE to the lowest computed polymorph   0 meV per atom
DFT total energy   -3.51 eV per atom
V   356.65 Å³/cell
ΔH_f (0 K)   0.08 eV/f.u.

Lattice parameters (Å, degrees): 7.0916 7.0916 7.0916 90.00 90.00 90.00
With the nearest neighbours (Å) after each atom.
Space group F-43m (No. 216)
One atom of each set of equivalent atoms:
Pr  0.0000  0.0000  0.0000 x4  4 Zn 3.07
Ho  0.0000  0.0000  0.5000 x4  4 Zn 3.07
Zn  0.2500  0.2500  0.7500 x4  4 Pr 3.07, 4 Ho 3.07